# KLi2Pd PBE optimized geometry
data_KLi2Pd
_chemical_formula_sum 'K4 Li8 Pd4'
_space_group_name_H-M_alt 'I -4 2 d'
_space_group_IT_number 122
_space_group_name_Hall 'I -4 2bw'
_cell_length_a 5.447
_cell_length_b 5.447
_cell_length_c 16.357
_cell_angle_alpha 90.00
_cell_angle_beta 90.00
_cell_angle_gamma 90.00
loop_
_atom_site_label
_atom_site_type_symbol
_atom_site_fract_x
_atom_site_fract_y
_atom_site_fract_z
K1 K 0.000 0.000 0.000
Li1 Li 0.011 0.250 0.625
Pd1 Pd 0.000 0.000 0.500
# Magnetic moment: 0.000 μB/atom
# E: -2.44 eV per atom


# KLiPd3 PBE optimized geometry
data_KLiPd3
_chemical_formula_sum 'K1 Li1 Pd3'
_space_group_name_H-M_alt 'P m -3 m'
_space_group_IT_number 221
_space_group_name_Hall '-P 4 2 3'
_cell_length_a 4.575
_cell_length_b 4.575
_cell_length_c 4.575
_cell_angle_alpha 90.00
_cell_angle_beta 90.00
_cell_angle_gamma 90.00
loop_
_atom_site_label
_atom_site_type_symbol
_atom_site_fract_x
_atom_site_fract_y
_atom_site_fract_z
K1 K 0.000 0.000 0.000
Li1 Li 0.500 0.500 0.500
Pd1 Pd 0.000 0.500 0.500
# Magnetic moment: 0.000 μB/atom
# Relative energy among the computed polymorphs: 0.00 kcal/mol of atoms
# E: -3.48 eV per atom